VASP calculation (GGA-PBEsol) on crystalline Re2SbMo at its relaxed geometry.

Geometry as POSCAR:
```
Re2SbMo
1.0
2.9089 0.0000 0.0000
1.4545 2.5192 0.0000
1.4545 0.8397 8.8876
Mo Re Sb
1 2 1
Direct
0.2539 0.2539 0.2383
0.0011 0.0011 0.9966
0.7452 0.7452 0.7644
0.4998 0.4998 0.5007
```

Results
Its spin magnetization is 0.00 μB/cell. As for the space group: R3m (160). The crystal system is trigonal. As for the total energy: -41.3 eV/f.u.